DFT (GGA-PBEsol) results for a relaxed Sr2P7I crystal.

Cell and atoms, written as CIF:
```
data_Sr2P7I
_chemical_formula_sum 'Sr8 P28 I4'
_symmetry_space_group_name_H-M 'P 21 3'
_symmetry_Int_Tables_number 198
_symmetry_space_group_name_Hall 'P 2ac 2ab 3'
_cell_length_a 9.8297
_cell_length_b 9.8297
_cell_length_c 9.8297
_cell_angle_alpha 90.00
_cell_angle_beta 90.00
_cell_angle_gamma 90.00
loop_
_atom_site_label
_atom_site_fract_x
_atom_site_fract_y
_atom_site_fract_z
_atom_site_occupancy
Sr1 0.0990 0.0990 0.0990 1
Sr2 0.1539 0.3461 0.6539 1
P1 0.0269 0.6418 0.0466 1
P2 0.0335 0.6426 0.6887 1
P3 0.2199 0.7199 0.7801 1
I1 0.1506 0.8494 0.3494 1
```

Results
Fermi-level density of states in states/eV per atom: 0.000
Crystal system: cubic
E_form (uncorrected) in eV per atom: -0.674
VASP energy in eV per atom: -5.27